Entry 1:
The following is a DFT calculation (PBE) of a geometry-optimized Nb3RuN structure.

Cell and atoms, written as extended XYZ:
```
5
Lattice="4.234 0.000 0.000 0.000 4.234 0.000 0.000 0.000 4.234" Properties=species:S:1:pos:R:3 pbc="T T T"
Nb 0.000 0.000 2.117
Nb 0.000 2.117 0.000
Nb 2.117 0.000 0.000
Ru 2.117 2.117 2.117
N 0.000 0.000 0.000
```

Summary:
* ΔE_f (raw): -439 meV per atom



Entry 2:
The following is a DFT calculation (PBE) of a geometry-optimized Li2PmTlAu2 structure.

Cell and atoms, written as extended XYZ:
```
6
Lattice="4.637 0.000 0.000 -2.318 4.016 0.000 0.000 0.000 6.692" Properties=species:S:1:pos:R:3 pbc="T T T"
Li 0.000 2.677 1.123
Li 2.318 1.339 5.570
Pm 0.000 0.000 3.346
Tl 0.000 0.000 0.000
Au 0.000 2.677 4.996
Au 2.318 1.339 1.696
```

Summary:
* formation enthalpy at 0 K: -0.5166 eV per atom



Entry 3:
The following is a DFT calculation (PBE) of a geometry-optimized Sr4ZnCu structure.

Cell and atoms, written as extended XYZ:
```
6
Lattice="3.934 0.000 0.000 0.000 3.934 0.000 0.000 0.000 14.059" Properties=species:S:1:pos:R:3 pbc="T T T"
Sr 0.000 0.000 1.813
Sr 0.000 0.000 12.245
Sr 1.967 1.967 5.117
Sr 1.967 1.967 8.941
Zn 0.000 0.000 7.029
Cu 1.967 1.967 0.000
```

Summary:
* ΔE to the lowest computed polymorph: 0 meV per atom
* formation enthalpy at 0 K: -0.0598 eV per atom



Entry 4:
The following is a DFT calculation (PBE) of a geometry-optimized SrNiH3 structure.

Cell and atoms, written as extended XYZ:
```
10
Lattice="3.012 1.739 4.005 -3.012 1.739 4.005 0.000 -3.478 4.005" Properties=species:S:1:pos:R:3 pbc="T T T"
Sr 0.000 0.000 0.000
Sr 0.000 0.000 6.007
Ni 0.000 0.000 3.004
Ni 0.000 0.000 9.011
H -2.235 -0.393 5.006
H -0.777 -2.132 7.008
H 1.458 -1.739 5.006
H -1.458 1.739 7.008
H 0.777 2.132 5.006
H 2.235 0.393 7.008
```

Summary:
* E: -3.59 eV per atom



Entry 5:
The following is a DFT calculation (PBE) of a geometry-optimized PdPb3S structure.

Cell and atoms, written as extended XYZ:
```
5
Lattice="5.443 0.000 0.000 0.000 5.443 0.000 0.000 0.000 5.443" Properties=species:S:1:pos:R:3 pbc="T T T"
Pd 0.000 0.000 0.000
Pb 0.000 2.722 2.722
Pb 2.722 0.000 2.722
Pb 2.722 2.722 0.000
S 2.722 2.722 2.722
```

Summary:
* ΔE_f (raw): 379 meV per atom
* ΔE to the lowest computed polymorph: 251 meV per atom



Entry 6:
The following is a DFT calculation (PBE) of a geometry-optimized Tb3Fe7Co2 structure.

Cell and atoms, written as extended XYZ:
```
12
Lattice="2.547 1.470 8.160 -2.547 1.470 8.160 0.000 -2.941 8.160" Properties=species:S:1:pos:R:3 pbc="T T T"
Tb 0.000 0.000 0.000
Tb 0.000 0.000 3.479
Tb 0.000 0.000 21.002
Fe -1.267 -0.732 10.144
Fe 0.000 -1.463 14.337
Fe -1.267 0.732 14.337
Fe 0.000 0.000 12.240
Fe 1.267 -0.732 10.144
Fe 0.000 1.463 10.144
Fe 1.267 0.732 14.337
Co 0.000 0.000 8.133
Co 0.000 0.000 16.347
```

Summary:
* formation enthalpy at 0 K: -0.0824 eV per atom



Entry 7:
The following is a DFT calculation (PBE) of a geometry-optimized YHfPO2 structure.

Cell and atoms, written as extended XYZ:
```
5
Lattice="4.134 0.000 0.000 0.000 4.134 0.000 0.000 0.000 5.511" Properties=species:S:1:pos:R:3 pbc="T T T"
Y 0.000 0.000 0.000
Hf 2.067 2.067 2.755
P 0.000 0.000 2.755
O 0.000 2.067 0.000
O 2.067 0.000 0.000
```

Summary:
* ΔE_f (raw): -1145 meV per atom
* ΔE to the lowest computed polymorph: 1199 meV per atom



Entry 8:
The following is a DFT calculation (PBE) of a geometry-optimized Hf2ScTi2 structure.

Cell and atoms, written as extended XYZ:
```
10
Lattice="7.900 0.000 0.000 0.000 7.900 0.000 0.000 0.000 3.370" Properties=species:S:1:pos:R:3 pbc="T T T"
Hf 1.050 2.900 0.000
Hf 2.900 6.851 0.000
Hf 5.000 1.050 0.000
Hf 6.851 5.000 0.000
Sc 0.000 0.000 0.000
Sc 3.950 3.950 0.000
Ti 1.277 5.227 1.685
Ti 2.673 1.277 1.685
Ti 5.227 6.623 1.685
Ti 6.623 2.673 1.685
```

Summary:
* ΔE to the lowest computed polymorph: 77 meV per atom
* formation enthalpy at 0 K: 0.1699 eV per atom